A plane-wave DFT calculation with PBEsol was carried out for TiSeN2O after structural relaxation.

total magnetization	0.9	μB per cell
DOS at the Fermi energy	3.75	states/eV/cell

```
data_TiSeN2O
_symmetry_space_group_name_H-M 'P 4/m m m'
_symmetry_Int_Tables_number 123
_symmetry_space_group_name_Hall '-P 4 2'
_cell_length_a 3.777
_cell_length_b 3.777
_cell_length_c 3.700
_cell_angle_alpha 90.00
_cell_angle_beta 90.00
_cell_angle_gamma 90.00
loop_
_atom_site_label
_atom_site_fract_x
_atom_site_fract_y
_atom_site_fract_z
Ti1 0.000 0.000 0.000
Se1 0.500 0.500 0.500
N1 0.000 0.500 0.500
O1 0.500 0.500 0.000
```


A plane-wave DFT calculation with PBEsol was carried out for TiSeN2O after structural relaxation.

total magnetization	0.3	μB per cell
DOS at the Fermi energy	4.72	states/eV/cell

```
data_TiSeN2O
_symmetry_space_group_name_H-M 'P 4/m m m'
_symmetry_Int_Tables_number 123
_symmetry_space_group_name_Hall '-P 4 2'
_cell_length_a 3.676
_cell_length_b 3.676
_cell_length_c 5.399
_cell_angle_alpha 90.00
_cell_angle_beta 90.00
_cell_angle_gamma 90.00
loop_
_atom_site_label
_atom_site_fract_x
_atom_site_fract_y
_atom_site_fract_z
Ti1 0.000 0.000 0.000
Se1 0.000 0.000 0.500
N1 0.000 0.500 0.000
O1 0.500 0.500 0.500
```


A plane-wave DFT calculation with PBEsol was carried out for TlSeN2O after structural relaxation.

total magnetization	0.8	μB per cell
DOS at the Fermi energy	4.81	states/eV/cell

```
data_TlSeN2O
_symmetry_space_group_name_H-M 'P 4/m m m'
_symmetry_Int_Tables_number 123
_symmetry_space_group_name_Hall '-P 4 2'
_cell_length_a 4.235
_cell_length_b 4.235
_cell_length_c 4.039
_cell_angle_alpha 90.00
_cell_angle_beta 90.00
_cell_angle_gamma 90.00
loop_
_atom_site_label
_atom_site_fract_x
_atom_site_fract_y
_atom_site_fract_z
Tl1 0.000 0.000 0.000
Se1 0.500 0.500 0.500
N1 0.000 0.500 0.000
O1 0.000 0.000 0.500
```


no.,calculated total energy (eV/atom)
1,-6.41
2,-6.13
3,-3.80